Below is Rb3CuTc after structural relaxation, with properties calculated at the GGA-PBE level.

Cell lengths 6.0446, 6.0446, 6.0446 Å; angles 90.00, 90.00, 90.00 degrees
Fractional coordinates of all 5 atoms:
Cu 0.5000 0.5000 0.5000
Tc 0.0000 0.0000 0.0000
Rb 0.0000 0.5000 0.0000
Rb 0.0000 0.0000 0.5000
Rb 0.5000 0.0000 0.0000

Results
* E: -0.07155 hartree per atom
* N(E_F): 1.383 states/eV per atom
* SG: Pm-3m (221)